No. 1
## Zn2NiAuSe (PBE)

Data for an optimized crystal structure of Zn2NiAuSe.

Geometry as POSCAR:
```
Zn2NiAuSe
1.0
-3.436 -2.925 -0.449
1.649 -1.266 -4.371
2.524 -3.256 1.895
Ni Zn Au Se
1 2 1 1
Cartesian
0.000 0.000 0.000
1.262 -1.628 0.948
-1.718 -1.462 -0.225
0.824 -0.633 -2.185
0.369 -3.723 -1.462
```

Computed properties:
Total moment ... 0.0 μB per cell
ρ ... 7.8 g cm⁻³
ΔE_f (raw) ... 0.403 eV/atom
Volume ... 99.5 Å³/cell
VASP energy ... -2.6151 eV per atom
Density of states at the Fermi level ... 0.657 states/eV/atom

No. 2
## SiNiAu (PBE)

Data for an optimized crystal structure of SiNiAu.

Geometry as POSCAR:
```
SiNiAu
1.0
-0.666 3.634 -1.606
-3.582 0.854 -1.633
-2.484 2.588 1.833
Au Ni Si
1 1 1
Cartesian
0.000 0.000 0.000
-3.366 3.538 -0.703
-5.049 5.307 -1.055
```

Computed properties:
Total moment ... 0.0 μB per cell
ρ ... 10.2 g cm⁻³
ΔE_f (raw) ... -0.113 eV/atom
Volume ... 46.2 Å³/cell
VASP energy ... -4.9402 eV per atom
Density of states at the Fermi level ... 0.753 states/eV/atom

No. 3
## Si4NiAu (PBE)

Data for an optimized crystal structure of Si4NiAu.

Geometry as POSCAR:
```
Si4NiAu
1.0
4.515 -2.215 0.502
1.563 -1.549 4.550
0.291 -4.941 1.025
Si Ni Au
4 1 1
Cartesian
4.652 -4.372 2.528
2.530 -5.741 2.790
3.169 -4.038 4.561
2.384 -3.260 2.275
0.000 0.000 0.000
4.776 -6.529 4.558
```

Computed properties:
Total moment ... 0.0 μB per cell
ρ ... 6.7 g cm⁻³
ΔE_f (raw) ... 0.524 eV/atom
Volume ... 91.3 Å³/cell
VASP energy ... -4.6007 eV per atom
Density of states at the Fermi level ... 0.725 states/eV/atom

No. 4
## SiNiAu (PBE)

Data for an optimized crystal structure of SiNiAu.

Geometry as POSCAR:
```
SiNiAu
1.0
3.880 1.117 -0.760
1.098 3.886 -0.760
-3.023 -3.037 7.358
Au Si Ni
2 2 2
Cartesian
-0.576 -0.579 4.239
2.531 2.543 1.599
1.313 1.319 4.860
0.643 0.646 0.978
-1.999 -2.008 6.124
3.954 3.973 -0.286
```

Computed properties:
Total moment ... 0.0 μB per cell
ρ ... 10.6 g cm⁻³
ΔE_f (raw) ... -0.227 eV/atom
Volume ... 89.1 Å³/cell
VASP energy ... -5.0545 eV per atom
Density of states at the Fermi level ... 0.407 states/eV/atom

Q: Number 1 is which compound?
A: Zn2NiAuSe

Q: The highest ρ belongs to which entry?
A: number 4